# 1
Below is Ta2FeMo at its PBEsol-relaxed geometry, with properties calculated at the meta-GGA SCAN level.

a b c (Å): 3.1565 3.1565 6.1316
angles (deg): 90.00 90.00 90.00
Last column: nearest neighbours and their distance in Å.
Positions (direct):
1 Ta 0.0000 0.0000 0.0000  4 Mo 2.71, 4 Ta 2.81, 1 Fe 2.98
2 Ta 0.5000 0.5000 0.2777  4 Fe 2.66, 4 Ta 2.81, 1 Mo 2.88
3 Fe 0.0000 0.0000 0.5139  4 Mo 2.65, 4 Ta 2.66
4 Mo 0.5000 0.5000 0.7481  4 Fe 2.65, 5 Ta 2.71-2.88

Calculated values
As for the space group: No. 99. For the energy above the most stable polymorph in this dataset, the calculation gives 0.61 eV per formula unit. The calculation puts the formation enthalpy at 0 K at -0.001 eV/atom.



# 2
Below is Al2SbPb at its PBEsol-relaxed geometry, with properties calculated at the meta-GGA SCAN level.

a b c (Å): 6.0871 6.0871 6.0871
angles (deg): 139.80 139.80 58.16
Last column: nearest neighbours and their distance in Å.
Positions (direct):
1 Al 0.0000 0.0000 0.0000  4 Pb 2.96
2 Al 0.7500 0.2500 0.5000  4 Sb 2.96
3 Sb 0.2500 0.7500 0.5000  4 Al 2.96
4 Pb 0.5000 0.5000 0.0000  4 Al 2.96

Calculated values
As for the space group: No. 119. For the energy above the most stable polymorph in this dataset, the calculation gives 0.00 eV per formula unit.



# 3
Below is AlCo2W at its PBEsol-relaxed geometry, with properties calculated at the meta-GGA SCAN level.

a b c (Å): 2.6829 3.3634 5.4351
angles (deg): 90.00 90.00 90.00
Last column: nearest neighbours and their distance in Å.
Positions (direct):
1 Al 0.0000 0.0000 0.0000  8 Co 2.55, 2 Al 2.68, 2 W 2.72
2 Co 0.5000 0.5000 0.2512  4 W 2.54, 4 Al 2.55, 4 Co 2.68-2.73
3 Co 0.5000 0.5000 0.7488  4 W 2.54, 4 Al 2.55, 4 Co 2.68-2.73
4 W 0.0000 0.0000 0.5000  8 Co 2.54, 2 W 2.68, 2 Al 2.72

Calculated values
As for the space group: No. 47. The calculation puts the formation enthalpy at 0 K at -0.085 eV/atom.



# 4
Below is AgS2Br at its PBEsol-relaxed geometry, with properties calculated at the meta-GGA SCAN level.

a b c (Å): 7.6234 7.6234 7.6234
angles (deg): 28.94 28.94 28.94
Last column: nearest neighbours and their distance in Å.
Positions (direct):
1 Ag 0.0000 0.0000 0.0000  6 S 2.52
2 S 0.3894 0.3894 0.3894  1 Br 2.42, 3 Ag 2.52
3 S 0.6106 0.6106 0.6106  1 Br 2.42, 3 Ag 2.52
4 Br 0.5000 0.5000 0.5000  2 S 2.42

Calculated values
As for the space group: No. 166. For the energy above the most stable polymorph in this dataset, the calculation gives 0.00 eV per formula unit.



# 5
Below is RbCaNbCu2 at its PBEsol-relaxed geometry, with properties calculated at the meta-GGA SCAN level.

a b c (Å): 4.8942 4.8942 5.3547
angles (deg): 90.00 90.00 90.00
Last column: nearest neighbours and their distance in Å.
Positions (direct):
1 Rb 0.0000 0.0000 0.0000  2 Nb 2.68
2 Ca 0.5000 0.5000 0.0000  4 Rb 3.46, 8 Cu 3.63
3 Nb 0.0000 0.0000 0.5000  4 Cu 2.45, 2 Rb 2.68
4 Cu 0.0000 0.5000 0.5000  2 Nb 2.45
5 Cu 0.5000 0.0000 0.5000  2 Nb 2.45

Calculated values
As for the space group: No. 123. The calculation puts the formation enthalpy at 0 K at 1.184 eV/atom.



# 6
Below is Ta3Fe at its PBEsol-relaxed geometry, with properties calculated at the meta-GGA SCAN level.

a b c (Å): 4.4369 4.4369 3.1879
angles (deg): 90.00 90.00 90.00
Last column: nearest neighbours and their distance in Å.
Positions (direct):
1 Ta 0.0000 0.0000 0.0000  8 Ta 2.73
2 Ta 0.0000 0.5000 0.5000  4 Ta 2.73, 4 Fe 2.73
3 Ta 0.5000 0.0000 0.5000  4 Ta 2.73, 4 Fe 2.73
4 Fe 0.5000 0.5000 0.0000  8 Ta 2.73

Calculated values
As for the space group: No. 123. The calculation puts the formation enthalpy at 0 K at 0.011 eV/atom.



# 7
Below is MgSb4Br at its PBEsol-relaxed geometry, with properties calculated at the meta-GGA SCAN level.

a b c (Å): 6.2000 6.2000 6.2000
angles (deg): 60.00 60.00 60.00
Last column: nearest neighbours and their distance in Å.
Positions (direct):
1 Mg 0.0000 0.0000 0.0000  12 Sb 3.65, 4 Br 3.80
2 Sb 0.3805 0.3805 0.3805  6 Sb 2.96-3.24
3 Sb 0.3805 0.3805 0.8585  6 Sb 2.96-3.24
4 Sb 0.3805 0.8585 0.3805  6 Sb 2.96-3.24
5 Sb 0.8585 0.3805 0.3805  6 Sb 2.96-3.24
6 Br 0.7500 0.7500 0.7500  12 Sb 3.62, 4 Mg 3.80

Calculated values
As for the space group: No. 216. As for the total energy: -172.7 eV per cell.



# 8
Below is YHfCu2W at its PBEsol-relaxed geometry, with properties calculated at the meta-GGA SCAN level.

a b c (Å): 4.7385 4.7385 4.7642
angles (deg): 90.00 90.00 90.00
Last column: nearest neighbours and their distance in Å.
Positions (direct):
1 Y 0.0000 0.0000 0.0000  4 W 3.35, 8 Cu 3.36
2 Hf 0.5000 0.5000 0.5000  4 Cu 2.37, 2 W 2.38
3 Cu 0.0000 0.5000 0.5000  2 Hf 2.37
4 Cu 0.5000 0.0000 0.5000  2 Hf 2.37
5 W 0.5000 0.5000 0.0000  2 Hf 2.38

Calculated values
As for the space group: No. 123. The calculation puts the formation enthalpy at 0 K at 1.043 eV/atom.



# 9
Below is RbGaAu3 at its PBEsol-relaxed geometry, with properties calculated at the meta-GGA SCAN level.

a b c (Å): 4.9767 4.9767 4.9767
angles (deg): 90.00 90.00 90.00
Last column: nearest neighbours and their distance in Å.
Positions (direct):
1 Rb 0.0000 0.0000 0.0000  12 Au 3.52
2 Ga 0.5000 0.5000 0.5000  6 Au 2.49
3 Au 0.0000 0.5000 0.5000  2 Ga 2.49
4 Au 0.5000 0.0000 0.5000  2 Ga 2.49
5 Au 0.5000 0.5000 0.0000  2 Ga 2.49

Calculated values
As for the space group: No. 221. The calculation puts the formation enthalpy at 0 K at -0.209 eV/atom.



# 10
Below is TcIr2Pt at its PBEsol-relaxed geometry, with properties calculated at the meta-GGA SCAN level.

a b c (Å): 2.7125 3.8311 5.4700
angles (deg): 90.00 90.00 90.00
Last column: nearest neighbours and their distance in Å.
Positions (direct):
1 Tc 0.0000 0.0000 0.0000  8 Ir 2.69, 2 Tc 2.71, 2 Pt 2.73
2 Ir 0.5000 0.5000 0.2410  4 Ir 2.64-2.83, 4 Tc 2.69, 4 Pt 2.74
3 Ir 0.5000 0.5000 0.7590  4 Ir 2.64-2.83, 4 Tc 2.69, 4 Pt 2.74
4 Pt 0.0000 0.0000 0.5000  2 Pt 2.71, 2 Tc 2.73, 8 Ir 2.74

Calculated values
As for the space group: No. 47. For the energy above the most stable polymorph in this dataset, the calculation gives 0.05 eV per formula unit. The calculation puts the formation enthalpy at 0 K at -0.144 eV/atom.



# 11
Below is Cd2TcHg at its PBEsol-relaxed geometry, with properties calculated at the meta-GGA SCAN level.

a b c (Å): 4.1604 4.1604 4.1518
angles (deg): 90.00 90.00 90.00
Last column: nearest neighbours and their distance in Å.
Positions (direct):
1 Cd 0.0000 0.5000 0.0000  4 Hg 2.94, 4 Tc 2.94, 4 Cd 2.94
2 Cd 0.5000 0.0000 0.0000  4 Hg 2.94, 4 Tc 2.94, 4 Cd 2.94
3 Tc 0.0000 0.0000 0.5000  8 Cd 2.94, 4 Hg 2.94
4 Hg 0.5000 0.5000 0.5000  8 Cd 2.94, 4 Tc 2.94

Calculated values
As for the space group: No. 123. The calculation puts the formation enthalpy at 0 K at 0.302 eV/atom.



# 12
Below is K2InHgI6 at its PBEsol-relaxed geometry, with properties calculated at the meta-GGA SCAN level.

a b c (Å): 8.3713 8.3713 8.3713
angles (deg): 60.00 60.00 60.00
Last column: nearest neighbours and their distance in Å.
Positions (direct):
1 K 0.2500 0.2500 0.2500  12 I 4.19
2 K 0.7500 0.7500 0.7500  12 I 4.19
3 In 0.0000 0.0000 0.0000  6 I 2.93
4 Hg 0.5000 0.5000 0.5000  6 I 2.99
5 I 0.2474 0.2474 0.7526  1 In 2.93, 1 Hg 2.99
6 I 0.2474 0.7526 0.2474  1 In 2.93, 1 Hg 2.99
7 I 0.2474 0.7526 0.7526  1 In 2.93, 1 Hg 2.99
8 I 0.7526 0.2474 0.2474  1 In 2.93, 1 Hg 2.99
9 I 0.7526 0.2474 0.7526  1 In 2.93, 1 Hg 2.99
10 I 0.7526 0.7526 0.2474  1 In 2.93, 1 Hg 2.99

Calculated values
As for the space group: No. 225. As for the total energy: -346.9 eV per cell.